Record 1
This record from Alexandria via LeMat-Bulk describes a relaxed structure of Cd2InRh. The functional is GGA-PBEsol. Values from VASP.

Properties
- electronic total energy (eV/atom) = -3.48
- space-group type = No. 25

Quantum ESPRESSO input file:
```
&SYSTEM
  ibrav = 0, nat = 4, ntyp = 3
/
ATOMIC_SPECIES
Cd 112.41 Cd.upf
In 114.82 In.upf
Rh 102.91 Rh.upf
ATOMIC_POSITIONS crystal
Cd 0.000 0.000 0.000
Cd 0.500 0.500 0.252
In 0.000 0.000 0.541
Rh 0.500 0.500 0.749
CELL_PARAMETERS angstrom
3.185 0.000 0.000
0.000 3.788 0.000
0.000 0.000 6.057
```



Record 2
This record from Alexandria via LeMat-Bulk describes a relaxed structure of BaNa2Cd2. The functional is GGA-PBEsol. Values from VASP.

Properties
- electronic total energy (eV/atom) = -1.58
- space-group type = No. 139

Quantum ESPRESSO input file:
```
&SYSTEM
  ibrav = 0, nat = 5, ntyp = 3
/
ATOMIC_SPECIES
Ba 137.33 Ba.upf
Na 22.99 Na.upf
Cd 112.41 Cd.upf
ATOMIC_POSITIONS crystal
Ba 0.000 0.000 0.000
Na 0.250 0.750 0.500
Na 0.750 0.250 0.500
Cd 0.401 0.401 0.000
Cd 0.599 0.599 0.000
CELL_PARAMETERS angstrom
-2.352 2.352 7.357
2.352 -2.352 7.357
2.352 2.352 -7.357
```



Record 3
This record from Alexandria via LeMat-Bulk describes a relaxed structure of CrFe2Au. The functional is GGA-PBEsol. Values from VASP.

Properties
- electronic total energy (eV/atom) = -7.72
- space-group type = No. 65

Quantum ESPRESSO input file:
```
&SYSTEM
  ibrav = 0, nat = 4, ntyp = 3
/
ATOMIC_SPECIES
Cr 52.00 Cr.upf
Fe 55.84 Fe.upf
Au 196.97 Au.upf
ATOMIC_POSITIONS crystal
Cr 0.000 0.000 0.000
Fe 0.000 0.500 0.500
Fe 0.500 0.000 0.500
Au 0.500 0.500 0.000
CELL_PARAMETERS angstrom
2.604 -3.652 0.000
2.604 3.652 0.000
0.000 0.000 2.701
```



Record 4
This record from Alexandria via LeMat-Bulk describes a relaxed structure of SrMnP2O. The functional is GGA-PBEsol. Values from VASP.

Properties
- electronic total energy (eV/atom) = -6.31
- space-group type = No. 123
- formation energy from raw total energies (meV per atom) = -623

Quantum ESPRESSO input file:
```
&SYSTEM
  ibrav = 0, nat = 5, ntyp = 4
/
ATOMIC_SPECIES
Sr 87.62 Sr.upf
Mn 54.94 Mn.upf
P 30.97 P.upf
O 16.00 O.upf
ATOMIC_POSITIONS crystal
Sr 0.000 0.000 0.000
Mn 0.500 0.500 0.500
P 0.000 0.500 0.500
P 0.500 0.000 0.500
O 0.500 0.500 0.000
CELL_PARAMETERS angstrom
4.893 0.000 0.000
0.000 4.893 0.000
0.000 0.000 3.506
```



Record 5
This record from Alexandria via LeMat-Bulk describes a relaxed structure of Bi. The functional is GGA-PBEsol. Values from VASP.

Properties
- electronic total energy (eV/atom) = -4.29
- space-group type = No. 166

Quantum ESPRESSO input file:
```
&SYSTEM
  ibrav = 0, nat = 2, ntyp = 1
/
ATOMIC_SPECIES
Bi 208.98 Bi.upf
ATOMIC_POSITIONS crystal
Bi 0.237 0.237 0.237
Bi 0.763 0.763 0.763
CELL_PARAMETERS angstrom
2.264 1.307 3.874
-2.264 1.307 3.874
0.000 -2.615 3.874
```



Record 6
This record from Alexandria via LeMat-Bulk describes a relaxed structure of SmSi2Pt2. The functional is GGA-PBEsol. Values from VASP.

Properties
- electronic total energy (eV/atom) = -7.27
- space-group type = No. 129
- formation energy from raw total energies (meV per atom) = -1166

Quantum ESPRESSO input file:
```
&SYSTEM
  ibrav = 0, nat = 10, ntyp = 3
/
ATOMIC_SPECIES
Sm 150.36 Sm.upf
Si 28.09 Si.upf
Pt 195.08 Pt.upf
ATOMIC_POSITIONS crystal
Sm 0.250 0.250 0.245
Sm 0.750 0.750 0.755
Si 0.250 0.250 0.633
Si 0.250 0.750 0.000
Si 0.750 0.250 0.000
Si 0.750 0.750 0.367
Pt 0.250 0.250 0.878
Pt 0.250 0.750 0.500
Pt 0.750 0.250 0.500
Pt 0.750 0.750 0.122
CELL_PARAMETERS angstrom
4.193 0.000 0.000
0.000 4.193 0.000
0.000 0.000 9.777
```



Record 7
This record from Alexandria via LeMat-Bulk describes a relaxed structure of VSi2. The functional is GGA-PBEsol. Values from VASP.

Properties
- electronic total energy (eV/atom) = -7.64
- space-group type = No. 180
- formation energy from raw total energies (meV per atom) = -592

Quantum ESPRESSO input file:
```
&SYSTEM
  ibrav = 0, nat = 9, ntyp = 2
/
ATOMIC_SPECIES
V 50.94 V.upf
Si 28.09 Si.upf
ATOMIC_POSITIONS crystal
V 0.000 0.500 0.167
V 0.500 0.000 0.500
V 0.500 0.500 0.833
Si 0.163 0.327 0.500
Si 0.163 0.837 0.833
Si 0.327 0.163 0.167
Si 0.673 0.837 0.167
Si 0.837 0.163 0.833
Si 0.837 0.673 0.500
CELL_PARAMETERS angstrom
4.520 0.000 0.000
-2.260 3.914 0.000
0.000 0.000 6.327
```



Record 8
This record from Alexandria via LeMat-Bulk describes a relaxed structure of BaTi2Sb2. The functional is GGA-PBEsol. Values from VASP.

Properties
- electronic total energy (eV/atom) = -6.20
- space-group type = No. 139
- formation energy from raw total energies (meV per atom) = -615

Quantum ESPRESSO input file:
```
&SYSTEM
  ibrav = 0, nat = 5, ntyp = 3
/
ATOMIC_SPECIES
Ba 137.33 Ba.upf
Ti 47.87 Ti.upf
Sb 121.76 Sb.upf
ATOMIC_POSITIONS crystal
Ba 0.000 0.000 0.000
Ti 0.250 0.750 0.500
Ti 0.750 0.250 0.500
Sb 0.371 0.371 0.000
Sb 0.629 0.629 0.000
CELL_PARAMETERS angstrom
-2.153 2.153 7.093
2.153 -2.153 7.093
2.153 2.153 -7.093
```